No. 1
! SrLa2SiN4 (PBE, optimized geometry); values from VASP
! - theoretical density (Mg/m³) = 5.5
! - crystal system = orthorhombic
! - space-group type = Cmcm, No. 63
! - energy relative to the elements, uncorrected (eV/atom) = -1.0982
&SYSTEM
  ibrav = 0, nat = 16, ntyp = 4
/
ATOMIC_SPECIES
Sr 87.62 Sr.upf
La 138.91 La.upf
Si 28.09 Si.upf
N 14.01 N.upf
CELL_PARAMETERS angstrom
1.762 -6.239 0.000
1.762 6.239 0.000
0.000 0.000 12.300
ATOMIC_POSITIONS angstrom
Sr 1.762 5.008 9.225
Sr 1.762 -5.008 3.075
La 1.762 1.638 6.664
La 1.762 1.638 11.787
La 1.762 -1.638 0.514
La 1.762 -1.638 5.637
Si 1.762 3.876 3.075
Si 1.762 -3.876 9.225
N 0.000 0.000 0.000
N 0.000 0.000 6.150
N 1.762 2.933 1.632
N 1.762 2.933 4.518
N 1.762 1.363 9.225
N 1.762 -1.363 3.075
N 1.762 -2.933 7.782
N 1.762 -2.933 10.668



No. 2
! Sr6Ge3H2 (PBE, optimized geometry); values from VASP
! - uncorrected energy (eV per cell) = -36.11
! - theoretical density (Mg/m³) = 3.8
! - crystal system = tetragonal
! - space-group type = I4/mmm, No. 139
&SYSTEM
  ibrav = 0, nat = 11, ntyp = 3
/
ATOMIC_SPECIES
Sr 87.62 Sr.upf
Ge 72.64 Ge.upf
H 1.01 H.upf
CELL_PARAMETERS angstrom
-2.615 2.615 11.777
2.615 -2.615 11.777
2.615 2.615 -11.777
ATOMIC_POSITIONS angstrom
Sr 2.615 0.000 1.933
Sr 0.000 0.000 4.864
Sr 2.615 0.000 9.843
Sr 0.000 2.615 1.933
Sr 0.000 0.000 18.690
Sr 0.000 2.615 9.843
Ge 0.000 0.000 7.982
Ge 0.000 0.000 11.777
Ge 0.000 0.000 15.571
H 0.000 0.000 2.323
H 0.000 0.000 21.231



No. 3
! HgSbRh2 (PBE, optimized geometry); values from VASP
! - theoretical density (Mg/m³) = 12.4
! - ΔE to the lowest computed polymorph (eV per atom) = 0.000
! - crystal system = tetragonal
! - space-group type = P4/mmm, No. 123
! - energy relative to the elements, uncorrected (eV/atom) = -0.1193
&SYSTEM
  ibrav = 0, nat = 4, ntyp = 3
/
ATOMIC_SPECIES
Hg 200.59 Hg.upf
Sb 121.76 Sb.upf
Rh 102.91 Rh.upf
CELL_PARAMETERS angstrom
3.178 0.000 0.000
0.000 3.178 0.000
0.000 0.000 7.013
ATOMIC_POSITIONS angstrom
Hg 0.000 0.000 0.000
Sb 0.000 0.000 3.506
Rh 1.589 1.589 1.941
Rh 1.589 1.589 5.072



No. 4
! Cs2SrLiF6 (PBE, optimized geometry); values from VASP
! - theoretical density (Mg/m³) = 4.2
! - ΔE to the lowest computed polymorph (eV per atom) = 0.013
! - crystal system = cubic
! - space-group type = Fm-3m, No. 225
! - energy relative to the elements, uncorrected (eV/atom) = -2.7917
&SYSTEM
  ibrav = 0, nat = 10, ntyp = 4
/
ATOMIC_SPECIES
Cs 132.91 Cs.upf
Sr 87.62 Sr.upf
Li 6.94 Li.upf
F 19.00 F.upf
CELL_PARAMETERS angstrom
0.000 4.549 4.549
4.549 0.000 4.549
4.549 4.549 0.000
ATOMIC_POSITIONS angstrom
Cs 2.275 2.275 2.275
Cs 6.824 6.824 6.824
Sr 0.000 0.000 0.000
Li 4.549 4.549 4.549
F 4.549 4.549 2.416
F 4.549 2.416 4.549
F 6.683 4.549 4.549
F 2.416 4.549 4.549
F 4.549 6.683 4.549
F 4.549 4.549 6.683



No. 5
! LiAcCdPt (PBE, optimized geometry); values from VASP
! - theoretical density (Mg/m³) = 9.7
! - ΔH_f (0 K) (eV per atom) = -0.503
! - crystal system = cubic
! - space-group type = F-43m, No. 216
&SYSTEM
  ibrav = 0, nat = 4, ntyp = 4
/
ATOMIC_SPECIES
Li 6.94 Li.upf
Ac 227.00 Ac.upf
Cd 112.41 Cd.upf
Pt 195.08 Pt.upf
CELL_PARAMETERS angstrom
0.000 3.594 3.594
3.594 0.000 3.594
3.594 3.594 0.000
ATOMIC_POSITIONS angstrom
Li 0.000 0.000 0.000
Ac 1.797 1.797 1.797
Cd 5.390 5.390 5.390
Pt 3.594 3.594 3.594



No. 6
! Sm3DyMg2 (PBE, optimized geometry); values from VASP
! - theoretical density (Mg/m³) = 6.1
! - ΔH_f (0 K) (eV per atom) = -0.050
! - crystal system = tetragonal
! - space-group type = P4/mmm, No. 123
&SYSTEM
  ibrav = 0, nat = 6, ntyp = 3
/
ATOMIC_SPECIES
Sm 150.36 Sm.upf
Dy 162.50 Dy.upf
Mg 24.30 Mg.upf
CELL_PARAMETERS angstrom
3.756 0.000 0.000
0.000 3.756 0.000
0.000 0.000 12.744
ATOMIC_POSITIONS angstrom
Sm 0.000 0.000 0.000
Sm 0.000 0.000 3.948
Sm 0.000 0.000 8.797
Dy 1.878 1.878 6.372
Mg 1.878 1.878 1.964
Mg 1.878 1.878 10.781



No. 7
! NdErZnPt (PBE, optimized geometry); values from VASP
! - theoretical density (Mg/m³) = 10.4
! - ΔH_f (0 K) (eV per atom) = -0.728
! - crystal system = cubic
! - space-group type = F-43m, No. 216
&SYSTEM
  ibrav = 0, nat = 4, ntyp = 4
/
ATOMIC_SPECIES
Nd 144.24 Nd.upf
Er 167.26 Er.upf
Zn 65.41 Zn.upf
Pt 195.08 Pt.upf
CELL_PARAMETERS angstrom
0.000 3.571 3.571
3.571 0.000 3.571
3.571 3.571 0.000
ATOMIC_POSITIONS angstrom
Nd 0.000 0.000 0.000
Er 3.571 3.571 3.571
Zn 5.357 5.357 5.357
Pt 1.786 1.786 1.786



No. 8
! LiSc2Cd6 (PBE, optimized geometry); values from VASP
! - theoretical density (Mg/m³) = 6.5
! - ΔE to the lowest computed polymorph (eV per atom) = 0.074
! - ΔH_f (0 K) (eV per atom) = -0.142
! - crystal system = orthorhombic
! - space-group type = Cmmm, No. 65
&SYSTEM
  ibrav = 0, nat = 9, ntyp = 3
/
ATOMIC_SPECIES
Li 6.94 Li.upf
Sc 44.96 Sc.upf
Cd 112.41 Cd.upf
CELL_PARAMETERS angstrom
3.523 -6.042 0.000
3.523 6.042 0.000
0.000 0.000 4.641
ATOMIC_POSITIONS angstrom
Li 0.000 0.000 0.000
Sc 3.523 3.299 2.321
Sc 3.523 -3.299 2.321
Cd 2.088 1.669 0.000
Cd 1.759 0.000 2.321
Cd 2.088 -1.669 0.000
Cd 4.958 1.669 0.000
Cd 5.286 0.000 2.321
Cd 4.958 -1.669 0.000